1.
The following is a DFT calculation (PBE) of RbTc2O7 after structural relaxation.

Values from the calculation:
Magnetization (μB/f.u.): 0.00
Raw formation energy (eV/f.u.): -12.38

Unit cell a=6.0666 b=6.0666 c=3.8404 alpha=90.00 beta=90.00 gamma=118.83
Last column: nearest neighbours and their distance in Å.
Sites, in units of the cell vectors:
1 Rb 0.0000 0.0000 0.0000  8 O 2.74
2 Tc 0.3089 0.6911 0.5000  7 O 1.92-2.01
3 Tc 0.6911 0.3089 0.5000  7 O 1.92-2.01
4 O 0.0347 0.3375 0.5000  2 Tc 1.98-2.01, 1 O 2.20
5 O 0.3083 0.6917 0.0000  2 Tc 1.92
6 O 0.3375 0.0347 0.5000  2 Tc 1.98-2.01, 1 O 2.20
7 O 0.5000 0.5000 0.5000  2 Tc 2.00
8 O 0.6625 0.9653 0.5000  2 Tc 1.98-2.01, 1 O 2.20
9 O 0.6917 0.3083 0.0000  2 Tc 1.92
10 O 0.9653 0.6625 0.5000  2 Tc 1.98-2.01, 1 O 2.20

---

2.
The following is a DFT calculation (PBE) of Ce3SeBr3 after structural relaxation.

Values from the calculation:
Magnetization (μB/f.u.): 3.55
Raw formation energy (eV/f.u.): -10.60

Unit cell a=11.3245 b=11.3245 c=11.3245 alpha=36.80 beta=36.80 gamma=36.80
Last column: nearest neighbours and their distance in Å.
Sites, in units of the cell vectors:
1 Ce 0.0510 0.3737 0.7283  2 Se 2.91, 3 Br 3.02-3.05
2 Ce 0.2717 0.9490 0.6263  2 Se 2.91, 3 Br 3.02-3.05
3 Ce 0.3737 0.7283 0.0510  2 Se 2.91, 3 Br 3.02-3.05
4 Ce 0.6263 0.2717 0.9490  2 Se 2.91, 3 Br 3.02-3.05
5 Ce 0.7283 0.0510 0.3737  2 Se 2.91, 3 Br 3.02-3.05
6 Ce 0.9490 0.6263 0.2717  2 Se 2.91, 3 Br 3.02-3.05
7 Se 0.3333 0.3333 0.3333  6 Ce 2.91
8 Se 0.6667 0.6667 0.6667  6 Ce 2.91
9 Br 0.1098 0.7696 0.4503  3 Ce 3.02-3.05
10 Br 0.2304 0.5497 0.8902  3 Ce 3.02-3.05
11 Br 0.4503 0.1098 0.7696  3 Ce 3.02-3.05
12 Br 0.5497 0.8902 0.2304  3 Ce 3.02-3.05
13 Br 0.7696 0.4503 0.1098  3 Ce 3.02-3.05
14 Br 0.8902 0.2304 0.5497  3 Ce 3.02-3.05

---

3.
The following is a DFT calculation (PBE) of ThBIr6 after structural relaxation.

Values from the calculation:
Electronic total energy (eV per atom): -8.65
Magnetization (μB/f.u.): 0.00

Unit cell a=5.7504 b=5.7504 c=5.7504 alpha=59.72 beta=59.72 gamma=59.72
Last column: nearest neighbours and their distance in Å.
Sites, in units of the cell vectors:
1 Th 0.0000 0.0000 0.0000  12 Ir 3.13
2 B 0.5000 0.5000 0.5000  6 Ir 2.10
3 Ir 0.0615 0.6031 0.6031  1 B 2.10
4 Ir 0.3969 0.3969 0.9385  1 B 2.10
5 Ir 0.3969 0.9385 0.3969  1 B 2.10
6 Ir 0.6031 0.0615 0.6031  1 B 2.10
7 Ir 0.6031 0.6031 0.0615  1 B 2.10
8 Ir 0.9385 0.3969 0.3969  1 B 2.10

---

no.,Fermi-level density of states (states/eV per atom)
1,0.262
2,2.415
3,0.837